(1)
First-principles (GGA-PBE) data for HgP2Rh after structural relaxation, as listed in Alexandria via LeMat-Bulk.

The calculation puts the density of states at the Fermi level at 0.315 states/eV/atom. The calculated total energy is -38.3 eV per cell. Its magnetization is 0.00 μB per formula unit. The calculation puts the formation energy at -163.7 meV/atom.

It has space group C2/m (No. 12), with a = 6.9175 Å, b = 3.4776 Å, c = 7.4783 Å, α = 90.00°, β = 110.87° and γ = 90.00°. The asymmetric unit holds Hg at (0.0000, 0.0000, 0.0000), P at (0.1329, 0.0000, 0.3582) and Rh at (0.0000, 0.5000, 0.5000).

(2)
First-principles (GGA-PBE) data for HgP3Rh after structural relaxation, as listed in Alexandria via LeMat-Bulk.

The calculation puts the density of states at the Fermi level at 1.048 states/eV/atom. The calculated total energy is -20.7 eV per cell. Its magnetization is 0.00 μB per formula unit. The calculation puts the formation energy at 632.9 meV/atom.

It has space group Pm-3m (No. 221), with a = 4.6683 Å, b = 4.6683 Å, c = 4.6683 Å, α = 90.00°, β = 90.00° and γ = 90.00°. The asymmetric unit holds Hg at (0.0000, 0.0000, 0.0000), P at (0.0000, 0.5000, 0.5000) and Rh at (0.5000, 0.5000, 0.5000).